# 1
# ErZnPt

A relaxed structure of ErZnPt (GGA-PBEsol, Alexandria).

DFT total energy: -5.4675 eV/atom
DOS(E_F): 5.8 states/eV/cell
V: 221.1 Å³/cell
E_form: -0.9767 eV/atom

Cell lengths 4.011, 6.832, 8.068 Å; angles 90.00, 90.00, 90.00 degrees
Element x y z (fractional)
1 Er 0.750 0.454 0.185
2 Zn 0.750 0.367 0.563
3 Pt 0.750 0.752 0.623
4 Pt 0.250 0.248 0.377
5 Pt 0.750 0.252 0.877
6 Zn 0.250 0.133 0.063
7 Pt 0.250 0.748 0.123
8 Er 0.250 0.046 0.685
9 Zn 0.250 0.633 0.437
10 Er 0.250 0.546 0.815
11 Er 0.750 0.954 0.315
12 Zn 0.750 0.867 0.937

=====

# 2
# Mg3Tl4

A relaxed structure of Mg3Tl4 (GGA-PBEsol, Alexandria).

DFT total energy: -2.2640 eV/atom
DOS(E_F): 3.2 states/eV/cell
V: 175.2 Å³/cell
E_form: -0.0252 eV/atom
Excess energy over the best structure of this formula in the dataset: 0.000 eV per atom

Cell lengths 3.771, 3.771, 12.605 Å; angles 98.60, 98.60, 90.00 degrees
Element x y z (fractional)
1 Tl 0.150 0.150 0.300
2 Mg 0.286 0.286 0.571
3 Mg 0.714 0.714 0.429
4 Tl 0.571 0.571 0.142
5 Mg 0.000 0.000 0.000
6 Tl 0.850 0.850 0.700
7 Tl 0.429 0.429 0.858

=====

- DOS(E_F) of number 1 (ErZnPt)?
  5.8 states/eV/cell